(1)
An optimized crystal structure of AlTlIn. Source: Alexandria, functional PBE.

Geometry as POSCAR:
```
AlTlIn
1.0
-1.6093 2.0487 5.8035
1.6093 -2.0487 5.8035
1.6093 2.0487 -5.8035
Al Tl In
1 1 1
Cartesian
0.0000 0.0000 0.0000
0.0000 0.0000 3.8544
0.0000 0.0000 7.3898
```

## Properties
The value obtained for the volume is 76.5 Å³/f.u. For the density, the calculation gives 7.511 g cm⁻³. The formation enthalpy at 0 K comes out at 0.195 eV/atom. The symmetry is Imm2 (44). The calculated total energy comes out at -2.75 eV per atom. The magnetic moment comes out at 0.0 μB per formula unit. For the distance to the lowest polymorph of the same formula, the calculation gives 42.5 meV per atom.


(2)
An optimized crystal structure of AlTl2In. Source: Alexandria, functional PBE.

Geometry as POSCAR:
```
AlTl2In
1.0
-2.3742 2.3742 4.7456
2.3742 -2.3742 4.7456
2.3742 2.3742 -4.7456
Al Tl In
1 2 1
Cartesian
0.0000 0.0000 0.0000
2.3742 0.0000 2.3728
0.0000 2.3742 2.3728
0.0000 0.0000 4.7456
```

## Properties
The value obtained for the volume is 107.0 Å³/f.u. For the density, the calculation gives 8.545 g cm⁻³. The formation enthalpy at 0 K comes out at 0.198 eV/atom. The symmetry is I4/mmm (139). The calculated total energy comes out at -2.61 eV per atom. The magnetic moment comes out at 0.0 μB per formula unit. For the distance to the lowest polymorph of the same formula, the calculation gives 83.4 meV per atom.


(3)
An optimized crystal structure of Al2TlIn2. Source: Alexandria, functional PBE.

Geometry as POSCAR:
```
Al2TlIn2
1.0
-2.3117 2.3117 6.0417
2.3117 -2.3117 6.0417
2.3117 2.3117 -6.0417
Al Tl In
2 1 2
Cartesian
0.0000 0.0000 1.2928
0.0000 0.0000 10.7906
0.0000 0.0000 6.0417
2.3117 0.0000 3.0208
0.0000 2.3117 3.0208
```

## Properties
The value obtained for the volume is 129.1 Å³/f.u. For the density, the calculation gives 6.274 g cm⁻³. The formation enthalpy at 0 K comes out at 0.152 eV/atom. The symmetry is I4/mmm (139). The calculated total energy comes out at -2.91 eV per atom. The magnetic moment comes out at 0.0 μB per formula unit. For the distance to the lowest polymorph of the same formula, the calculation gives 0.0 meV per atom.


(4)
An optimized crystal structure of AlTl2In. Source: Alexandria, functional PBE.

Geometry as POSCAR:
```
AlTl2In
1.0
1.8968 -2.6625 0.0000
1.8968 2.6625 0.0000
0.0000 0.0000 10.6884
Al Tl In
1 2 1
Cartesian
0.0000 0.0000 0.0000
1.8968 0.0000 2.4755
1.8968 0.0000 8.2129
0.0000 0.0000 5.3442
```

## Properties
The value obtained for the volume is 108.0 Å³/f.u. For the density, the calculation gives 8.468 g cm⁻³. The formation enthalpy at 0 K comes out at 0.172 eV/atom. The symmetry is Cmmm (65). The calculated total energy comes out at -2.63 eV per atom. The magnetic moment comes out at 0.0 μB per formula unit. For the distance to the lowest polymorph of the same formula, the calculation gives 57.8 meV per atom.


(5)
An optimized crystal structure of Al2TlIn. Source: Alexandria, functional PBE.

Geometry as POSCAR:
```
Al2TlIn
1.0
-4.0166 4.0166 3.0288
4.0166 -4.0166 3.0288
4.0166 4.0166 -3.0288
Al Tl In
4 2 2
Cartesian
6.0250 1.9503 -0.7572
1.9503 2.0083 0.7572
-2.0083 2.0663 2.2716
2.0663 2.0083 3.7861
4.0166 0.0000 1.5144
0.0000 0.0000 3.0288
0.0000 0.0000 0.0000
0.0000 4.0166 1.5144
```

## Properties
The value obtained for the volume is 97.7 Å³/f.u. For the density, the calculation gives 6.340 g cm⁻³. The formation enthalpy at 0 K comes out at 0.324 eV/atom. The symmetry is I-42d (122). The calculated total energy comes out at -2.82 eV per atom. The magnetic moment comes out at 0.0 μB per formula unit. For the distance to the lowest polymorph of the same formula, the calculation gives 167.2 meV per atom.


(6)
An optimized crystal structure of AlTl2In. Source: Alexandria, functional PBE.

Geometry as POSCAR:
```
AlTl2In
1.0
0.0000 3.7785 3.7785
3.7785 0.0000 3.7785
3.7785 3.7785 0.0000
Al Tl In
1 2 1
Cartesian
0.0000 0.0000 0.0000
1.8892 1.8892 1.8892
5.6677 5.6677 5.6677
3.7785 3.7785 3.7785
```

## Properties
The value obtained for the volume is 107.9 Å³/f.u. For the density, the calculation gives 8.474 g cm⁻³. The formation enthalpy at 0 K comes out at 0.211 eV/atom. The symmetry is Fm-3m (225). The calculated total energy comes out at -2.59 eV per atom. The magnetic moment comes out at 0.0 μB per formula unit. For the distance to the lowest polymorph of the same formula, the calculation gives 96.9 meV per atom.


(7)
An optimized crystal structure of AlTl2In. Source: Alexandria, functional PBE.

Geometry as POSCAR:
```
AlTl2In
1.0
3.2714 -5.2749 0.0000
3.2714 5.2749 0.0000
-0.8801 0.0000 3.1401
Al Tl In
1 2 1
Cartesian
0.0000 0.0000 0.0000
1.1956 2.6375 1.5700
1.1956 -2.6375 1.5700
3.2714 0.0000 0.0000
```

## Properties
The value obtained for the volume is 108.4 Å³/f.u. For the density, the calculation gives 8.436 g cm⁻³. The formation enthalpy at 0 K comes out at 0.195 eV/atom. The symmetry is C2/m (12). The calculated total energy comes out at -2.61 eV per atom. The magnetic moment comes out at 0.0 μB per formula unit. For the distance to the lowest polymorph of the same formula, the calculation gives 80.8 meV per atom.


(8)
An optimized crystal structure of Al2TlIn. Source: Alexandria, functional PBE.

Geometry as POSCAR:
```
Al2TlIn
1.0
0.0000 3.6188 3.6188
3.6188 0.0000 3.6188
3.6188 3.6188 0.0000
Al Tl In
2 1 1
Cartesian
0.0000 0.0000 0.0000
1.8094 1.8094 1.8094
5.4282 5.4282 5.4282
3.6188 3.6188 3.6188
```

## Properties
The value obtained for the volume is 94.8 Å³/f.u. For the density, the calculation gives 6.538 g cm⁻³. The formation enthalpy at 0 K comes out at 0.272 eV/atom. The symmetry is F-43m (216). The calculated total energy comes out at -2.88 eV per atom. The magnetic moment comes out at 0.0 μB per formula unit. For the distance to the lowest polymorph of the same formula, the calculation gives 115.3 meV per atom.


(9)
An optimized crystal structure of AlTlIn. Source: Alexandria, functional PBE.

Geometry as POSCAR:
```
AlTlIn
1.0
5.2761 0.0000 0.0000
-2.6380 4.5692 0.0000
0.0000 0.0000 3.2054
Al Tl In
1 1 1
Cartesian
0.0000 0.0000 0.0000
2.6380 1.5231 1.6027
0.0000 3.0461 0.0000
```

## Properties
The value obtained for the volume is 77.3 Å³/f.u. For the density, the calculation gives 7.439 g cm⁻³. The formation enthalpy at 0 K comes out at 0.195 eV/atom. The symmetry is P-6m2 (187). The calculated total energy comes out at -2.75 eV per atom. The magnetic moment comes out at 0.0 μB per formula unit. For the distance to the lowest polymorph of the same formula, the calculation gives 43.4 meV per atom.


(10)
An optimized crystal structure of Al2Tl2In. Source: Alexandria, functional PBE.

Geometry as POSCAR:
```
Al2Tl2In
1.0
-2.3334 2.3334 6.1350
2.3334 -2.3334 6.1350
2.3334 2.3334 -6.1350
Al Tl In
2 2 1
Cartesian
0.0000 0.0000 1.2686
0.0000 0.0000 11.0014
2.3334 0.0000 3.0675
0.0000 2.3334 3.0675
0.0000 0.0000 6.1350
```

## Properties
The value obtained for the volume is 133.6 Å³/f.u. For the density, the calculation gives 7.178 g cm⁻³. The formation enthalpy at 0 K comes out at 0.281 eV/atom. The symmetry is I4/mmm (139). The calculated total energy comes out at -2.71 eV per atom. The magnetic moment comes out at 0.0 μB per formula unit. For the distance to the lowest polymorph of the same formula, the calculation gives 94.0 meV per atom.


(11)
An optimized crystal structure of AlTlIn. Source: Alexandria, functional PBE.

Geometry as POSCAR:
```
AlTlIn
1.0
-1.6510 1.6510 6.9941
1.6510 -1.6510 6.9941
1.6510 1.6510 -6.9941
Al Tl In
1 1 1
Cartesian
0.0000 0.0000 0.0000
0.0000 0.0000 9.2558
0.0000 0.0000 4.9612
```

## Properties
The value obtained for the volume is 76.3 Å³/f.u. For the density, the calculation gives 7.539 g cm⁻³. The formation enthalpy at 0 K comes out at 0.177 eV/atom. The symmetry is I4mm (107). The calculated total energy comes out at -2.77 eV per atom. The magnetic moment comes out at 0.0 μB per formula unit. For the distance to the lowest polymorph of the same formula, the calculation gives 24.6 meV per atom.


(12)
An optimized crystal structure of AlTl2In. Source: Alexandria, functional PBE.

Geometry as POSCAR:
```
AlTl2In
1.0
3.2471 0.0000 0.0000
0.0000 5.2957 0.0000
-1.4667 0.0000 6.2660
Al Tl In
1 2 1
Cartesian
0.0000 0.0000 0.0000
0.1047 2.6478 4.8871
1.6929 0.0000 3.0473
-0.0070 2.6478 1.5757
```

## Properties
The value obtained for the volume is 107.7 Å³/f.u. For the density, the calculation gives 8.485 g cm⁻³. The formation enthalpy at 0 K comes out at 0.159 eV/atom. The symmetry is Pm (6). The calculated total energy comes out at -2.64 eV per atom. The magnetic moment comes out at 0.0 μB per formula unit. For the distance to the lowest polymorph of the same formula, the calculation gives 44.9 meV per atom.


(13)
An optimized crystal structure of AlTl2In2. Source: Alexandria, functional PBE.

Geometry as POSCAR:
```
AlTl2In2
1.0
-2.0541 2.0541 8.8487
2.0541 -2.0541 8.8487
2.0541 2.0541 -8.8487
Al Tl In
1 2 2
Cartesian
0.0000 0.0000 0.0000
0.0000 0.0000 7.1902
0.0000 0.0000 10.5072
2.0541 0.0000 4.4243
0.0000 2.0541 4.4243
```

## Properties
The value obtained for the volume is 149.3 Å³/f.u. For the density, the calculation gives 7.399 g cm⁻³. The formation enthalpy at 0 K comes out at 0.285 eV/atom. The symmetry is I4/mmm (139). The calculated total energy comes out at -2.51 eV per atom. The magnetic moment comes out at 0.0 μB per formula unit. For the distance to the lowest polymorph of the same formula, the calculation gives 142.5 meV per atom.


(14)
An optimized crystal structure of AlTl4In. Source: Alexandria, functional PBE.

Geometry as POSCAR:
```
AlTl4In
1.0
0.0000 4.5271 4.5271
4.5271 0.0000 4.5271
4.5271 4.5271 0.0000
Al Tl In
1 4 1
Cartesian
0.0000 0.0000 0.0000
3.3941 3.3941 3.3941
5.6601 5.6601 3.3941
5.6601 3.3941 5.6601
3.3941 5.6601 5.6601
6.7906 6.7906 6.7906
```

## Properties
The value obtained for the volume is 185.6 Å³/f.u. For the density, the calculation gives 8.585 g cm⁻³. The formation enthalpy at 0 K comes out at 0.301 eV/atom. The symmetry is F-43m (216). The calculated total energy comes out at -2.36 eV per atom. The magnetic moment comes out at 0.0 μB per formula unit.